The following is a DFT calculation (PBE) of an optimized crystal structure of Ho2ThZn.

Geometry as POSCAR:
```
Ho2ThZn
1.0
-2.5654 -1.1818 -2.1799
-1.9269 -2.8645 0.9008
-8.2513 4.6679 4.2598
Zn Ho Th
1 2 1
Direct
0.0000 0.0000 0.0000 Zn
0.7399 0.7399 0.7802 Ho
0.2601 0.2601 0.2198 Ho
0.5000 0.5000 0.5000 Th
```

As for the energy relative to the elements: -0.07 eV per atom. The crystal system is trigonal.



The following is a DFT calculation (PBE) of an optimized crystal structure of La4Nd2Ho5.

Geometry as POSCAR:
```
La4Nd2Ho5
1.0
5.6000 0.0000 -1.3661
-0.3208 6.6064 -1.3151
-0.5452 1.8308 9.9262
La Nd Ho
4 2 5
Direct
0.3060 0.9203 0.6121 La
0.9790 0.7106 0.9579 La
0.6940 0.0797 0.3879 La
0.0210 0.2894 0.0421 La
0.4004 0.4426 0.8009 Nd
0.5996 0.5574 0.1991 Nd
0.7900 0.5975 0.5801 Ho
0.2100 0.4025 0.4199 Ho
0.8695 0.1144 0.7390 Ho
0.5000 0.0000 0.0000 Ho
0.1305 0.8856 0.2610 Ho
```

As for the energy relative to the elements: 0.09 eV per atom. The crystal system is monoclinic.



The following is a DFT calculation (PBE) of an optimized crystal structure of Si2SbRh.

Geometry as POSCAR:
```
Si2SbRh
1.0
5.9573 -0.2348 -0.1445
4.7462 3.6081 -0.1445
4.7462 1.4958 3.2866
Rh Sb Si
1 1 2
Direct
0.5385 0.5385 0.5385 Rh
0.7696 0.7696 0.7696 Sb
0.9664 0.9664 0.9664 Si
0.2255 0.2255 0.2255 Si
```

The crystal system is trigonal.



no.,energy (eV per atom)
1,-4.529
2,-4.645
3,-5.622